(1)
Here is an optimized crystal structure of RbBeAs2Br from Alexandria. Energies are from GGA-PBE.

extended XYZ file:
```
5
Lattice="-6.9589 -1.6545 -2.5666 0.8423 -7.1795 2.3442 -2.4445 1.5508 5.6280" Properties=species:S:1:pos:R:3 pbc="T T T"
As 0.4212 -3.5898 1.1721
As -3.4794 -0.8272 -1.2833
Be -4.2805 -3.6416 2.7028
Rb 0.0000 0.0000 0.0000
Br -1.2222 0.7754 2.8140
```

Computed properties:
- DFT total energy: -8.8 eV/cell
- V: 365.5 Å³/f.u.
- Uncorrected formation energy: 1.364 eV/atom
- Energy above the most stable polymorph in this dataset: 1513 meV/atom


(2)
Here is an optimized crystal structure of CeYInOs from Alexandria. Energies are from GGA-PBE.

extended XYZ file:
```
4
Lattice="3.3628 0.0000 0.0000 0.0000 3.3628 0.0000 0.0000 0.0000 8.4866" Properties=species:S:1:pos:R:3 pbc="T T T"
Os 0.0000 0.0000 4.8556
Y 1.6814 1.6814 6.6099
Ce 1.6814 1.6814 3.1163
In 0.0000 0.0000 0.5641
```

Computed properties:
- DFT total energy: -27.7 eV/cell
- V: 96.0 Å³/f.u.
- Energy of formation from the pure elements: -0.3396 eV per atom
- Energy above the most stable polymorph in this dataset: 0 meV/atom